{"formula": "GePdS", "functional": "GGA-PBE", "state": "relaxed", "cell": [[6.500, 0.000, 0.000], [0.000, 3.647, 0.000], [-3.116, 0.000, 9.030]], "species": ["Ge", "Ge", "Ge", "Ge", "Pd", "Pd", "Pd", "Pd", "S", "S", "S", "S"], "fractional_positions": [[0.000, 0.000, 0.000], [0.241, 0.000, 0.490], [0.500, 0.500, 0.000], [0.741, 0.500, 0.490], [0.337, 0.500, 0.336], [0.485, 0.500, 0.641], [0.837, 0.000, 0.336], [0.985, 0.000, 0.641], [0.111, 0.500, 0.841], [0.441, 0.000, 0.177], [0.611, 0.000, 0.841], [0.941, 0.500, 0.177]], "energy_ev_per_atom": -4.9172, "m_tot_mub_per_fu": 0.00, "space_group": "Cm, No. 8", "raw_formation_energy_mev_per_atom": -271.3}